First-principles (PBE-GGA) data for a geometry-optimized PtWCl structure, as listed in Alexandria.

extended XYZ file:
```
12
Lattice="6.0609 0.0000 0.0000 0.0000 6.0609 0.0000 0.0000 0.0000 6.0609" Properties=species:S:1:pos:R:3 pbc="T T T"
Pt 0.0000 0.0000 0.0000
Pt 0.0000 3.0305 3.0305
Pt 3.0305 0.0000 3.0305
Pt 3.0305 3.0305 0.0000
W 1.5152 1.5152 4.5457
W 1.5152 4.5457 1.5152
W 4.5457 1.5152 1.5152
W 4.5457 4.5457 4.5457
Cl 0.0000 0.0000 3.0305
Cl 0.0000 3.0305 0.0000
Cl 3.0305 0.0000 0.0000
Cl 3.0305 3.0305 3.0305
```

distance to the lowest polymorph of the same formula = 1.50 eV per formula unit
M_tot = 0.132 μB/atom
space group = F-43m
calculated total energy = -76.27 eV for the cell shown
V = 18.55 A^3/atom
raw formation energy = 57.03 kJ/mol of atoms